(1)
## PmZr3 (PBE)

Data for crystalline PmZr3 at its relaxed geometry.

Space group ... P6_3/mmc

Structure (POSCAR):
```
PmZr3
1.0
6.678 0.000 0.000
-3.339 5.783 0.000
0.000 0.000 5.289
Pm Zr
2 6
Direct
0.333 0.667 0.250 Pm
0.667 0.333 0.750 Pm
0.158 0.317 0.750 Zr
0.158 0.842 0.750 Zr
0.317 0.158 0.250 Zr
0.683 0.842 0.750 Zr
0.842 0.158 0.250 Zr
0.842 0.683 0.250 Zr
```



(2)
## PmZr3 (PBE)

Data for crystalline PmZr3 at its relaxed geometry.

Space group ... Cmcm

Structure (POSCAR):
```
PmZr3
1.0
6.643 0.000 0.000
0.000 11.452 0.000
0.000 0.000 5.330
Pm Zr
4 12
Direct
0.000 0.087 0.250 Pm
0.000 0.913 0.750 Pm
0.500 0.413 0.750 Pm
0.500 0.587 0.250 Pm
0.000 0.417 0.750 Zr
0.000 0.583 0.250 Zr
0.240 0.330 0.250 Zr
0.240 0.670 0.750 Zr
0.260 0.170 0.750 Zr
0.260 0.830 0.250 Zr
0.500 0.083 0.250 Zr
0.500 0.917 0.750 Zr
0.740 0.170 0.750 Zr
0.740 0.830 0.250 Zr
0.760 0.330 0.250 Zr
0.760 0.670 0.750 Zr
```



(1) has the most favorable energy; the next structure is 5 meV per atom above.



(1)
## PrSmPt (PBE)

Data for crystalline PrSmPt at its relaxed geometry.

Space group ... F-43m

Structure (POSCAR):
```
PrSmPt
1.0
6.867 0.000 0.000
0.000 6.867 0.000
0.000 0.000 6.867
Pr Sm Pt
4 4 4
Direct
0.000 0.000 0.000 Pr
0.000 0.500 0.500 Pr
0.500 0.000 0.500 Pr
0.500 0.500 0.000 Pr
0.250 0.250 0.250 Sm
0.250 0.750 0.750 Sm
0.750 0.250 0.750 Sm
0.750 0.750 0.250 Sm
0.000 0.000 0.500 Pt
0.000 0.500 0.000 Pt
0.500 0.000 0.000 Pt
0.500 0.500 0.500 Pt
```



(2)
## PrSmPt (PBE)

Data for crystalline PrSmPt at its relaxed geometry.

Space group ... Pnma

Structure (POSCAR):
```
PrSmPt
1.0
7.344 0.000 0.000
0.000 4.904 0.000
0.000 0.000 9.029
Pr Sm Pt
4 4 4
Direct
0.008 0.250 0.171 Pr
0.492 0.750 0.671 Pr
0.508 0.250 0.329 Pr
0.992 0.750 0.829 Pr
0.145 0.250 0.584 Sm
0.355 0.750 0.084 Sm
0.645 0.250 0.916 Sm
0.855 0.750 0.416 Sm
0.248 0.250 0.911 Pt
0.252 0.750 0.411 Pt
0.748 0.250 0.589 Pt
0.752 0.750 0.089 Pt
```



(2) has the most favorable energy; the next structure is 700 meV per atom above.



(1)
## TbPrPt2 (PBE)

Data for crystalline TbPrPt2 at its relaxed geometry.

Space group ... Pmn2_1

Structure (POSCAR):
```
TbPrPt2
1.0
4.589 0.000 0.000
0.000 7.254 0.000
0.000 0.000 5.679
Tb Pr Pt
2 2 4
Direct
0.000 0.065 0.000 Tb
0.500 0.935 0.500 Tb
0.000 0.570 0.780 Pr
0.500 0.430 0.280 Pr
0.000 0.191 0.486 Pt
0.000 0.720 0.295 Pt
0.500 0.280 0.795 Pt
0.500 0.809 0.986 Pt
```



(2)
## TbPrPt2 (PBE)

Data for crystalline TbPrPt2 at its relaxed geometry.

Space group ... Pmc2_1

Structure (POSCAR):
```
TbPrPt2
1.0
4.587 0.000 0.000
0.000 5.673 0.000
0.000 0.000 7.235
Tb Pr Pt
2 2 4
Direct
0.000 0.109 0.000 Tb
0.000 0.891 0.500 Tb
0.500 0.390 0.365 Pr
0.500 0.610 0.865 Pr
0.000 0.400 0.641 Pt
0.000 0.600 0.141 Pt
0.500 0.092 0.728 Pt
0.500 0.908 0.228 Pt
```



(1) has the most favorable energy; the next structure is 12 meV per atom above.



(1)
## PrTcPt (PBE)

Data for crystalline PrTcPt at its relaxed geometry.

Space group ... F-43m

Structure (POSCAR):
```
PrTcPt
1.0
6.607 0.000 0.000
0.000 6.607 0.000
0.000 0.000 6.607
Pr Tc Pt
4 4 4
Direct
0.000 0.000 0.000 Pr
0.000 0.500 0.500 Pr
0.500 0.000 0.500 Pr
0.500 0.500 0.000 Pr
0.250 0.250 0.250 Tc
0.250 0.750 0.750 Tc
0.750 0.250 0.750 Tc
0.750 0.750 0.250 Tc
0.250 0.250 0.750 Pt
0.250 0.750 0.250 Pt
0.750 0.250 0.250 Pt
0.750 0.750 0.750 Pt
```



(2)
## PrTcPt (PBE)

Data for crystalline PrTcPt at its relaxed geometry.

Space group ... F-43m

Structure (POSCAR):
```
PrTcPt
1.0
6.638 0.000 0.000
0.000 6.638 0.000
0.000 0.000 6.638
Pr Tc Pt
4 4 4
Direct
0.000 0.000 0.000 Pr
0.000 0.500 0.500 Pr
0.500 0.000 0.500 Pr
0.500 0.500 0.000 Pr
0.000 0.000 0.500 Tc
0.000 0.500 0.000 Tc
0.500 0.000 0.000 Tc
0.500 0.500 0.500 Tc
0.250 0.250 0.250 Pt
0.250 0.750 0.750 Pt
0.750 0.250 0.750 Pt
0.750 0.750 0.250 Pt
```



(2) has the most favorable energy; the next structure is 548 meV per atom above.